# 1
Na3Cd5Hg12 after structural relaxation. Source: Alexandria via LeMat-Bulk, functional PBE-GGA.

Mass density = 7.68 Mg/m³
D(E_F) = 0.47 states/eV per atom

a = 15.054 Å, b = 15.054 Å, c = 15.054 Å
α = 109.47°, β = 109.47°, γ = 109.47°
Fractional coordinates of all 80 atoms:
Na 0.125 0.250 0.375
Na 0.125 0.375 0.750
Na 0.250 0.375 0.125
Na 0.250 0.875 0.625
Na 0.375 0.125 0.250
Na 0.375 0.750 0.125
Na 0.625 0.250 0.875
Na 0.625 0.875 0.750
Na 0.750 0.125 0.375
Na 0.750 0.625 0.875
Na 0.875 0.625 0.250
Na 0.875 0.750 0.625
Cd 0.000 0.000 0.000
Cd 0.000 0.000 0.500
Cd 0.000 0.500 0.000
Cd 0.000 0.500 0.500
Cd 0.125 0.750 0.875
Cd 0.125 0.875 0.250
Cd 0.250 0.125 0.875
Cd 0.250 0.625 0.375
Cd 0.375 0.250 0.625
Cd 0.375 0.625 0.750
Cd 0.500 0.000 0.000
Cd 0.500 0.000 0.500
Cd 0.500 0.500 0.000
Cd 0.500 0.500 0.500
Cd 0.625 0.375 0.250
Cd 0.625 0.750 0.375
Cd 0.750 0.375 0.625
Cd 0.750 0.875 0.125
Cd 0.875 0.125 0.750
Cd 0.875 0.250 0.125
Hg 0.066 0.232 0.143
Hg 0.066 0.335 0.923
Hg 0.077 0.643 0.411
Hg 0.077 0.934 0.665
Hg 0.089 0.732 0.665
Hg 0.089 0.857 0.423
Hg 0.143 0.066 0.232
Hg 0.143 0.577 0.911
Hg 0.165 0.232 0.589
Hg 0.165 0.434 0.577
Hg 0.232 0.143 0.066
Hg 0.232 0.589 0.165
Hg 0.268 0.335 0.911
Hg 0.268 0.434 0.357
Hg 0.335 0.911 0.268
Hg 0.335 0.923 0.066
Hg 0.357 0.268 0.434
Hg 0.357 0.589 0.923
Hg 0.411 0.077 0.643
Hg 0.411 0.835 0.768
Hg 0.423 0.089 0.857
Hg 0.423 0.835 0.566
Hg 0.434 0.357 0.268
Hg 0.434 0.577 0.165
Hg 0.566 0.423 0.835
Hg 0.566 0.643 0.732
Hg 0.577 0.165 0.434
Hg 0.577 0.911 0.143
Hg 0.589 0.165 0.232
Hg 0.589 0.923 0.357
Hg 0.643 0.411 0.077
Hg 0.643 0.732 0.566
Hg 0.665 0.077 0.934
Hg 0.665 0.089 0.732
Hg 0.732 0.566 0.643
Hg 0.732 0.665 0.089
Hg 0.768 0.411 0.835
Hg 0.768 0.857 0.934
Hg 0.835 0.566 0.423
Hg 0.835 0.768 0.411
Hg 0.857 0.423 0.089
Hg 0.857 0.934 0.768
Hg 0.911 0.143 0.577
Hg 0.911 0.268 0.335
Hg 0.923 0.066 0.335
Hg 0.923 0.357 0.589
Hg 0.934 0.665 0.077
Hg 0.934 0.768 0.857

***

# 2
NaCdHg2 after structural relaxation. Source: Alexandria via LeMat-Bulk, functional PBE-GGA.

Mass density = 8.02 Mg/m³
D(E_F) = 0.43 states/eV per atom

a = 8.354 Å, b = 8.354 Å, c = 6.367 Å
α = 90.00°, β = 90.00°, γ = 90.00°
Fractional coordinates of all 16 atoms:
Na 0.000 0.000 0.000
Na 0.000 0.500 0.250
Na 0.500 0.000 0.750
Na 0.500 0.500 0.500
Cd 0.000 0.000 0.500
Cd 0.000 0.500 0.750
Cd 0.500 0.000 0.250
Cd 0.500 0.500 0.000
Hg 0.238 0.250 0.625
Hg 0.250 0.738 0.875
Hg 0.250 0.762 0.375
Hg 0.262 0.250 0.125
Hg 0.738 0.750 0.125
Hg 0.750 0.238 0.375
Hg 0.750 0.262 0.875
Hg 0.762 0.750 0.625

***

# 3
Na2Cd3Hg2 after structural relaxation. Source: Alexandria via LeMat-Bulk, functional PBE-GGA.

Mass density = 7.67 Mg/m³
D(E_F) = 0.29 states/eV per atom

a = 10.029 Å, b = 4.608 Å, c = 7.404 Å
α = 90.00°, β = 97.13°, γ = 90.00°
Fractional coordinates of all 14 atoms:
Na 0.075 0.000 0.211
Na 0.425 0.500 0.789
Na 0.575 0.500 0.211
Na 0.925 0.000 0.789
Cd 0.000 0.500 0.500
Cd 0.211 0.000 0.634
Cd 0.289 0.500 0.366
Cd 0.500 0.000 0.500
Cd 0.711 0.500 0.634
Cd 0.789 0.000 0.366
Hg 0.141 0.500 0.922
Hg 0.359 0.000 0.078
Hg 0.641 0.000 0.922
Hg 0.859 0.500 0.078

***

# 4
NaCd2Hg7 after structural relaxation. Source: Alexandria via LeMat-Bulk, functional PBE-GGA.

Mass density = 9.33 Mg/m³
D(E_F) = 0.45 states/eV per atom

a = 11.187 Å, b = 11.187 Å, c = 3.265 Å
α = 90.00°, β = 90.00°, γ = 133.97°
Fractional coordinates of all 10 atoms:
Na 0.000 0.000 0.000
Cd 0.354 0.646 0.500
Cd 0.646 0.354 0.500
Hg 0.068 0.289 0.500
Hg 0.229 0.771 0.000
Hg 0.289 0.068 0.500
Hg 0.500 0.500 0.500
Hg 0.711 0.932 0.500
Hg 0.771 0.229 0.000
Hg 0.932 0.711 0.500

***

# 5
NaCd12Hg6 after structural relaxation. Source: Alexandria via LeMat-Bulk, functional PBE-GGA.

Mass density = 9.32 Mg/m³
D(E_F) = 0.28 states/eV per atom

a = 8.033 Å, b = 8.033 Å, c = 8.033 Å
α = 104.40°, β = 104.40°, γ = 104.40°
Fractional coordinates of all 19 atoms:
Na 0.000 0.000 0.000
Cd 0.018 0.265 0.748
Cd 0.193 0.565 0.602
Cd 0.252 0.982 0.735
Cd 0.265 0.748 0.018
Cd 0.398 0.807 0.435
Cd 0.435 0.398 0.807
Cd 0.565 0.602 0.193
Cd 0.602 0.193 0.565
Cd 0.735 0.252 0.982
Cd 0.748 0.018 0.265
Cd 0.807 0.435 0.398
Cd 0.982 0.735 0.252
Hg 0.152 0.418 0.178
Hg 0.178 0.152 0.418
Hg 0.418 0.178 0.152
Hg 0.582 0.822 0.848
Hg 0.822 0.848 0.582
Hg 0.848 0.582 0.822

***

# 6
Na5CdHg2 after structural relaxation. Source: Alexandria via LeMat-Bulk, functional PBE-GGA.

Mass density = 4.20 Mg/m³
D(E_F) = 0.54 states/eV per atom

a = 5.400 Å, b = 5.400 Å, c = 19.672 Å
α = 90.00°, β = 90.00°, γ = 120.00°
Fractional coordinates of all 16 atoms:
Na 0.000 0.000 0.153
Na 0.000 0.000 0.347
Na 0.000 0.000 0.653
Na 0.000 0.000 0.847
Na 0.333 0.667 0.054
Na 0.333 0.667 0.250
Na 0.333 0.667 0.446
Na 0.667 0.333 0.554
Na 0.667 0.333 0.750
Na 0.667 0.333 0.946
Cd 0.333 0.667 0.750
Cd 0.667 0.333 0.250
Hg 0.333 0.667 0.604
Hg 0.333 0.667 0.896
Hg 0.667 0.333 0.104
Hg 0.667 0.333 0.396

***

# 7
Na3Cd4Hg after structural relaxation. Source: Alexandria via LeMat-Bulk, functional PBE-GGA.

Mass density = 5.70 Mg/m³
D(E_F) = 0.38 states/eV per atom

a = 6.202 Å, b = 10.660 Å, c = 6.339 Å
α = 90.00°, β = 90.00°, γ = 90.00°
Fractional coordinates of all 16 atoms:
Na 0.000 0.000 0.000
Na 0.000 0.247 0.701
Na 0.000 0.753 0.701
Na 0.500 0.253 0.201
Na 0.500 0.500 0.500
Na 0.500 0.747 0.201
Cd 0.000 0.284 0.200
Cd 0.000 0.716 0.200
Cd 0.244 0.000 0.458
Cd 0.256 0.500 0.958
Cd 0.500 0.216 0.700
Cd 0.500 0.784 0.700
Cd 0.744 0.500 0.958
Cd 0.756 0.000 0.458
Hg 0.000 0.500 0.500
Hg 0.500 0.000 0.000

***

# 8
Na2CdHg2 after structural relaxation. Source: Alexandria via LeMat-Bulk, functional PBE-GGA.

Mass density = 6.76 Mg/m³
D(E_F) = 0.46 states/eV per atom

a = 9.115 Å, b = 9.115 Å, c = 3.309 Å
α = 90.00°, β = 90.00°, γ = 90.00°
Fractional coordinates of all 10 atoms:
Na 0.174 0.326 0.000
Na 0.326 0.826 0.000
Na 0.674 0.174 0.000
Na 0.826 0.674 0.000
Cd 0.000 0.000 0.000
Cd 0.500 0.500 0.000
Hg 0.123 0.623 0.500
Hg 0.377 0.123 0.500
Hg 0.623 0.877 0.500
Hg 0.877 0.377 0.500

***

no.,DFT formation energy (eV/atom),calculated volume (A^3/atom)
1,0.039,32.83
2,-0.067,27.77
3,-0.133,24.25
4,-0.001,29.41
5,0.002,24.15
6,-0.123,31.05
7,-0.051,26.19
8,-0.108,27.49